# 1
An optimized crystal structure of Ti2AlRu4, computed with PBE-GGA.

Cell lengths 5.9282, 5.9282, 6.1136 Å; angles 90.00, 90.00, 90.00 degrees
Space group I4/mmm (No. 139)
Inequivalent atoms, fractional coordinates:
1 Ti 0.0000 0.5000 0.0000 [4 per cell]
2 Al 0.0000 0.0000 0.0000 [2 per cell]
3 Ru 0.2500 0.2500 0.2500 [8 per cell]

Results
**ΔH_f (0 K)**: -1.41 eV/f.u.

---

# 2
An optimized crystal structure of Ti4AlRu3, computed with PBE-GGA.

Cell lengths 3.1155, 4.3811, 8.7448 Å; angles 90.00, 90.00, 90.00 degrees
Space group Pmmm (No. 47)
Inequivalent atoms, fractional coordinates:
1 Ti 0.0000 0.0000 0.0000 [1 per cell]
2 Ti 0.0000 0.0000 0.5000 [1 per cell]
3 Ti 0.0000 0.5000 0.2411 [2 per cell]
4 Al 0.5000 0.5000 0.5000 [1 per cell]
5 Ru 0.5000 0.0000 0.2537 [2 per cell]
6 Ru 0.5000 0.5000 0.0000 [1 per cell]

Results
**ΔH_f (0 K)**: -5.09 eV/f.u.

---

# 3
An optimized crystal structure of Ti5AlRu4, computed with PBE-GGA.

Cell lengths 3.0946, 3.0946, 15.5556 Å; angles 90.00, 90.00, 90.00 degrees
Space group P4/mmm (No. 123)
Inequivalent atoms, fractional coordinates:
1 Ti 0.0000 0.0000 0.0000 [1 per cell]
2 Ti 0.0000 0.0000 0.1967 [2 per cell]
3 Ti 0.0000 0.0000 0.3914 [2 per cell]
4 Al 0.5000 0.5000 0.5000 [1 per cell]
5 Ru 0.5000 0.5000 0.0987 [2 per cell]
6 Ru 0.5000 0.5000 0.2969 [2 per cell]

Results
**ΔH_f (0 K)**: -6.65 eV/f.u.

---

# 4
An optimized crystal structure of Ti3AlRu4, computed with PBE-GGA.

Cell lengths 3.0734, 4.3175, 8.6512 Å; angles 90.00, 90.00, 90.00 degrees
Space group Pmmm (No. 47)
Inequivalent atoms, fractional coordinates:
1 Ti 0.0000 0.0000 0.0000 [1 per cell]
2 Ti 0.0000 0.5000 0.2570 [2 per cell]
3 Al 0.0000 0.0000 0.5000 [1 per cell]
4 Ru 0.5000 0.0000 0.2488 [2 per cell]
5 Ru 0.5000 0.5000 0.0000 [1 per cell]
6 Ru 0.5000 0.5000 0.5000 [1 per cell]

Results
**ΔH_f (0 K)**: -6.23 eV/f.u.

---

# 5
An optimized crystal structure of TiAl2Ru2, computed with PBE-GGA.

Cell lengths 3.0245, 16.5832, 3.0708 Å; angles 90.00, 90.00, 90.00 degrees
Space group Cmmm (No. 65)
Inequivalent atoms, fractional coordinates:
1 Ti 0.0000 0.0000 0.0000 [2 per cell]
2 Al 0.0000 0.1779 0.0000 [4 per cell]
3 Ru 0.0000 0.4062 0.5000 [4 per cell]

Results
**ΔH_f (0 K)**: -2.82 eV/f.u.

---

# 6
An optimized crystal structure of Ti6AlRu, computed with PBE-GGA.

Cell lengths 5.5305, 9.0251, 5.2796 Å; angles 90.00, 98.99, 90.00 degrees
Space group C2/m (No. 12)
Inequivalent atoms, fractional coordinates:
1 Ti 0.1309 0.2268 0.2460 [8 per cell]
2 Ti 0.2428 0.0000 0.9448 [4 per cell]
3 Al 0.0000 0.5000 0.5000 [2 per cell]
4 Ru 0.0000 0.0000 0.5000 [2 per cell]

Results
**ΔH_f (0 K)**: -2.21 eV/f.u.

---

# 7
An optimized crystal structure of Ti6Al2Ru, computed with PBE-GGA.

Cell lengths 4.3097, 6.1923, 12.8603 Å; angles 90.00, 90.00, 90.00 degrees
Space group Immm (No. 71)
Inequivalent atoms, fractional coordinates:
1 Ti 0.0000 0.2374 0.0000 [4 per cell]
2 Ti 0.0000 0.2582 0.3397 [8 per cell]
3 Al 0.0000 0.5000 0.1674 [4 per cell]
4 Ru 0.0000 0.5000 0.5000 [2 per cell]

Results
**ΔH_f (0 K)**: 1.22 eV/f.u.

---

# 8
An optimized crystal structure of TiAl2Ru2, computed with PBE-GGA.

Cell lengths 7.0887, 7.0887, 2.9256 Å; angles 90.00, 90.00, 90.00 degrees
Space group P4/mbm (No. 127)
Inequivalent atoms, fractional coordinates:
1 Ti 0.0000 0.0000 0.0000 [2 per cell]
2 Al 0.1281 0.3719 0.0000 [4 per cell]
3 Ru 0.1705 0.6705 0.5000 [4 per cell]

Results
**ΔH_f (0 K)**: -2.49 eV/f.u.

---

# 9
An optimized crystal structure of Ti2AlRu, computed with PBE-GGA.

Cell lengths 7.2103, 7.2103, 5.2419 Å; angles 90.00, 90.00, 90.00 degrees
Space group I-42d (No. 122)
Inequivalent atoms, fractional coordinates:
1 Ti 0.2053 0.2500 0.1250 [8 per cell]
2 Al 0.0000 0.0000 0.5000 [4 per cell]
3 Ru 0.0000 0.0000 0.0000 [4 per cell]

Results
**ΔH_f (0 K)**: -0.15 eV/f.u.

---

# 10
An optimized crystal structure of AlTl2Ru, computed with PBE-GGA.

Cell lengths 6.8576, 6.8576, 6.8576 Å; angles 90.00, 90.00, 90.00 degrees
Space group Fm-3m (No. 225)
Inequivalent atoms, fractional coordinates:
1 Al 0.0000 0.0000 0.0000 [4 per cell]
2 Tl 0.2500 0.2500 0.2500 [8 per cell]
3 Ru 0.0000 0.0000 0.5000 [4 per cell]

Results
**ΔH_f (0 K)**: 2.52 eV/f.u.

---

# 11
An optimized crystal structure of AlTl2Ru, computed with PBE-GGA.

Cell lengths 3.2811, 3.2811, 27.8583 Å; angles 90.00, 90.00, 120.00 degrees
Space group R3m (No. 160, hexagonal axes)
Inequivalent atoms, fractional coordinates:
1 Al 0.0000 0.0000 0.0000 [3 per cell]
2 Tl 0.0000 0.0000 0.5322 [3 per cell]
3 Tl 0.0000 0.0000 0.7596 [3 per cell]
4 Ru 0.0000 0.0000 0.2762 [3 per cell]

Results
**ΔH_f (0 K)**: 0.79 eV/f.u.

---

# 12
An optimized crystal structure of AlTl2Ru, computed with PBE-GGA.

Cell lengths 5.7771, 8.1557, 3.3649 Å; angles 90.00, 90.00, 90.00 degrees
Space group Cmmm (No. 65)
Inequivalent atoms, fractional coordinates:
1 Al 0.0000 0.0000 0.0000 [2 per cell]
2 Tl 0.2500 0.2500 0.5000 [4 per cell]
3 Ru 0.0000 0.5000 0.0000 [2 per cell]

Results
**ΔH_f (0 K)**: 2.14 eV/f.u.

---

# 13
An optimized crystal structure of AlTl2Ru, computed with PBE-GGA.

Cell lengths 5.9546, 9.7086, 3.3573 Å; angles 90.00, 122.67, 90.00 degrees
Space group C2/m (No. 12)
Inequivalent atoms, fractional coordinates:
1 Al 0.0000 0.0000 0.0000 [2 per cell]
2 Tl 0.2500 0.2500 0.0000 [4 per cell]
3 Ru 0.0000 0.5000 0.0000 [2 per cell]

Results
**ΔH_f (0 K)**: 2.11 eV/f.u.

---

# 14
An optimized crystal structure of AlTl2Ru, computed with PBE-GGA.

Cell lengths 3.2919, 3.2919, 26.9101 Å; angles 90.00, 90.00, 120.00 degrees
Space group R-3m (No. 166, hexagonal axes)
Inequivalent atoms, fractional coordinates:
1 Al 0.0000 0.0000 0.0000 [3 per cell]
2 Tl 0.0000 0.0000 0.2438 [6 per cell]
3 Ru 0.0000 0.0000 0.5000 [3 per cell]

Results
**ΔH_f (0 K)**: 2.13 eV/f.u.

---

# 15
An optimized crystal structure of AlTl2Ru, computed with PBE-GGA.

Cell lengths 4.1393, 3.8494, 10.4408 Å; angles 90.00, 90.00, 90.00 degrees
Space group Amm2 (No. 38)
Inequivalent atoms, fractional coordinates:
1 Al 0.0000 0.0000 0.0000 [2 per cell]
2 Tl 0.0000 0.0000 0.7177 [2 per cell]
3 Tl 0.5000 0.0000 0.4063 [2 per cell]
4 Ru 0.5000 0.0000 0.1272 [2 per cell]

Results
**ΔH_f (0 K)**: 0.99 eV/f.u.

---

# 16
An optimized crystal structure of AlTl2Ru, computed with PBE-GGA.

Cell lengths 6.9066, 6.9066, 6.9066 Å; angles 90.00, 90.00, 90.00 degrees
Space group F-43m (No. 216)
Inequivalent atoms, fractional coordinates:
1 Al 0.0000 0.0000 0.0000 [4 per cell]
2 Tl 0.0000 0.0000 0.5000 [4 per cell]
3 Tl 0.2500 0.2500 0.7500 [4 per cell]
4 Ru 0.2500 0.2500 0.2500 [4 per cell]

Results
**ΔH_f (0 K)**: 2.45 eV/f.u.

---

# 17
An optimized crystal structure of AlTl2Ru, computed with PBE-GGA.

Cell lengths 3.1887, 3.1887, 8.5945 Å; angles 90.00, 90.00, 90.00 degrees
Space group P4mm (No. 99)
Inequivalent atoms, fractional coordinates:
1 Al 0.0000 0.0000 0.0000 [1 per cell]
2 Tl 0.0000 0.0000 0.3638 [1 per cell]
3 Tl 0.5000 0.5000 0.7124 [1 per cell]
4 Ru 0.5000 0.5000 0.1276 [1 per cell]

Results
**ΔH_f (0 K)**: 0.22 eV/f.u.

---

# 18
An optimized crystal structure of AlTl4Ru, computed with PBE-GGA.

Cell lengths 8.6288, 8.6288, 8.6288 Å; angles 90.00, 90.00, 90.00 degrees
Space group F-43m (No. 216)
Inequivalent atoms, fractional coordinates:
1 Al 0.0000 0.0000 0.0000 [4 per cell]
2 Tl 0.1245 0.1245 0.3755 [16 per cell]
3 Ru 0.2500 0.2500 0.7500 [4 per cell]

Results
**ΔH_f (0 K)**: 5.47 eV/f.u.

---

# 19
An optimized crystal structure of Al2TlRu2, computed with PBE-GGA.

Cell lengths 7.1859, 7.1859, 3.1357 Å; angles 90.00, 90.00, 90.00 degrees
Space group P4/mbm (No. 127)
Inequivalent atoms, fractional coordinates:
1 Al 0.1383 0.3617 0.0000 [4 per cell]
2 Tl 0.0000 0.0000 0.5000 [2 per cell]
3 Ru 0.1527 0.6527 0.5000 [4 per cell]

Results
**ΔH_f (0 K)**: -1.09 eV/f.u.

---

# 20
An optimized crystal structure of AlTl2Ru, computed with PBE-GGA.

Cell lengths 4.2337, 4.2337, 8.7285 Å; angles 90.00, 90.00, 90.00 degrees
Space group I-4m2 (No. 119)
Inequivalent atoms, fractional coordinates:
1 Al 0.0000 0.0000 0.0000 [2 per cell]
2 Tl 0.0000 0.0000 0.5000 [2 per cell]
3 Tl 0.0000 0.5000 0.2500 [2 per cell]
4 Ru 0.0000 0.5000 0.7500 [2 per cell]

Results
**ΔH_f (0 K)**: 1.96 eV/f.u.

---

# 21
An optimized crystal structure of Al2TlRu2, computed with PBE-GGA.

Cell lengths 7.2457, 7.2457, 3.0043 Å; angles 90.00, 90.00, 90.00 degrees
Space group P4/mbm (No. 127)
Inequivalent atoms, fractional coordinates:
1 Al 0.1297 0.3703 0.0000 [4 per cell]
2 Tl 0.0000 0.0000 0.0000 [2 per cell]
3 Ru 0.1620 0.6620 0.5000 [4 per cell]

Results
**ΔH_f (0 K)**: -0.53 eV/f.u.

---

# 22
An optimized crystal structure of AlTl2Ru, computed with PBE-GGA.

Cell lengths 4.2570, 4.2570, 8.6215 Å; angles 90.00, 90.00, 90.00 degrees
Space group I4/mmm (No. 139)
Inequivalent atoms, fractional coordinates:
1 Al 0.0000 0.0000 0.0000 [2 per cell]
2 Tl 0.0000 0.5000 0.2500 [4 per cell]
3 Ru 0.0000 0.0000 0.5000 [2 per cell]

Results
**ΔH_f (0 K)**: 2.02 eV/f.u.

---

# 23
An optimized crystal structure of AlTl2Ru, computed with PBE-GGA.

Cell lengths 3.7156, 3.7156, 5.7804 Å; angles 90.00, 90.00, 90.00 degrees
Space group P4/mmm (No. 123)
Inequivalent atoms, fractional coordinates:
1 Al 0.0000 0.0000 0.0000 [1 per cell]
2 Tl 0.5000 0.5000 0.2562 [2 per cell]
3 Ru 0.0000 0.0000 0.5000 [1 per cell]

Results
**ΔH_f (0 K)**: 1.96 eV/f.u.

---

# 24
An optimized crystal structure of AlTl2Ru, computed with PBE-GGA.

Cell lengths 4.7913, 4.7913, 3.4612 Å; angles 90.00, 90.00, 90.00 degrees
Space group P4/mmm (No. 123)
Inequivalent atoms, fractional coordinates:
1 Al 0.0000 0.0000 0.0000 [1 per cell]
2 Tl 0.0000 0.5000 0.5000 [2 per cell]
3 Ru 0.5000 0.5000 0.0000 [1 per cell]

Results
**ΔH_f (0 K)**: 2.29 eV/f.u.

---

# 25
An optimized crystal structure of AlTl2Ru, computed with PBE-GGA.

Cell lengths 3.4361, 5.2525, 9.4562 Å; angles 90.00, 90.00, 90.00 degrees
Space group Cmmm (No. 65)
Inequivalent atoms, fractional coordinates:
1 Al 0.0000 0.0000 0.0000 [2 per cell]
2 Tl 0.0000 0.5000 0.2705 [4 per cell]
3 Ru 0.0000 0.0000 0.5000 [2 per cell]

Results
**ΔH_f (0 K)**: 2.38 eV/f.u.

---

# 26
An optimized crystal structure of AlTl2Ru, computed with PBE-GGA.

Cell lengths 3.0949, 4.0019, 14.7372 Å; angles 90.00, 90.00, 90.00 degrees
Space group Immm (No. 71)
Inequivalent atoms, fractional coordinates:
1 Al 0.0000 0.0000 0.0000 [2 per cell]
2 Tl 0.0000 0.5000 0.1709 [4 per cell]
3 Ru 0.0000 0.0000 0.5000 [2 per cell]

Results
**ΔH_f (0 K)**: 0.27 eV/f.u.

---

# 27
An optimized crystal structure of AlTl2Ru, computed with PBE-GGA.

Cell lengths 3.3050, 4.7634, 5.1204 Å; angles 90.00, 90.00, 90.00 degrees
Space group Pmmm (No. 47)
Inequivalent atoms, fractional coordinates:
1 Al 0.0000 0.0000 0.0000 [1 per cell]
2 Tl 0.0000 0.5000 0.5000 [1 per cell]
3 Tl 0.5000 0.5000 0.0000 [1 per cell]
4 Ru 0.5000 0.0000 0.5000 [1 per cell]

Results
**ΔH_f (0 K)**: 2.15 eV/f.u.

---

# 28
An optimized crystal structure of AlTl2Ru, computed with PBE-GGA.

Cell lengths 3.0663, 4.6369, 12.6524 Å; angles 90.00, 90.00, 90.00 degrees
Space group Imm2 (No. 44)
Inequivalent atoms, fractional coordinates:
1 Al 0.0000 0.0000 0.0000 [2 per cell]
2 Tl 0.0000 0.0000 0.3703 [2 per cell]
3 Tl 0.0000 0.5000 0.1706 [2 per cell]
4 Ru 0.0000 0.5000 0.6546 [2 per cell]

Results
**ΔH_f (0 K)**: 0.94 eV/f.u.